Compound: BaZr2Tl
Source: Alexandria via LeMat-Bulk
Functional: PBE-GGA
Structure: relaxed

Cell: 5.472 5.472 3.487 Å, 90.00 90.00 90.00°
Space group P4/mmm (No. 123)
Inequivalent atoms, fractional coordinates:
Ba 0.000 0.000 0.000 [1 per cell]
Zr 0.000 0.500 0.500 [2 per cell]
Tl 0.500 0.500 0.000 [1 per cell]

## Properties
* E above lowest polymorph: 0.403 eV per atom
* size of the total moment: 0.00 μB per formula unit
* formation energy from the elements: 2.1 eV/f.u.

***

Compound: BaZrTl
Source: Alexandria via LeMat-Bulk
Functional: PBE-GGA
Structure: relaxed

Cell: 5.3857 5.3857 3.8534 Å, 90.00 90.00 120.00°
Space group P3m1 (No. 156)
Inequivalent atoms, fractional coordinates:
Ba 0.0000 0.0000 0.0000 [1 per cell]
Zr 0.3333 0.6667 0.5015 [1 per cell]
Tl 0.6667 0.3333 0.4989 [1 per cell]

## Properties
* E above lowest polymorph: 0.373 eV per atom
* size of the total moment: 0.00 μB per formula unit
* formation energy from the elements: 0.8 eV/f.u.

***

Compound: BaZrTl2
Source: Alexandria via LeMat-Bulk
Functional: PBE-GGA
Structure: relaxed

Cell: 9.585 3.684 7.526 Å, 90.00 99.42 90.00°
Space group C2/m (No. 12)
Inequivalent atoms, fractional coordinates:
Ba 0.000 0.000 0.000 [2 per cell]
Zr 0.000 0.500 0.500 [2 per cell]
Tl 0.241 0.000 0.688 [4 per cell]

## Properties
* size of the total moment: 0.00 μB per formula unit
* formation energy from the elements: 0.1 eV/f.u.

***

Compound: BaZrTl
Source: Alexandria via LeMat-Bulk
Functional: PBE-GGA
Structure: relaxed

Cell: 4.933 4.933 8.433 Å, 90.00 90.00 90.00°
Space group P4/nmm (No. 129, origin choice 2)
Inequivalent atoms, fractional coordinates:
Ba 0.250 0.250 0.153 [2 per cell]
Zr 0.250 0.750 0.500 [2 per cell]
Tl 0.250 0.250 0.709 [2 per cell]

## Properties
* E above lowest polymorph: 0.060 eV per atom
* size of the total moment: 0.00 μB per formula unit
* formation energy from the elements: -0.1 eV/f.u.

***

Compound: BaZrTl2
Source: Alexandria via LeMat-Bulk
Functional: PBE-GGA
Structure: relaxed

Cell: 7.945 7.945 7.945 Å, 90.00 90.00 90.00°
Space group F-43m (No. 216)
Inequivalent atoms, fractional coordinates:
Ba 0.000 0.000 0.000 [4 per cell]
Zr 0.250 0.250 0.250 [4 per cell]
Tl 0.000 0.000 0.500 [4 per cell]
Tl 0.250 0.250 0.750 [4 per cell]

## Properties
* size of the total moment: 2.52 μB per formula unit
* formation energy from the elements: 1.6 eV/f.u.

***

Compound: BaZr2Tl
Source: Alexandria via LeMat-Bulk
Functional: PBE-GGA
Structure: relaxed

Cell: 10.358 3.343 7.116 Å, 90.00 96.97 90.00°
Space group Cm (No. 8)
Inequivalent atoms, fractional coordinates:
Ba 0.000 0.000 0.000 [2 per cell]
Zr 0.016 0.500 0.479 [2 per cell]
Zr 0.281 0.500 0.349 [2 per cell]
Tl 0.250 0.000 0.711 [2 per cell]

## Properties
* E above lowest polymorph: 0.167 eV per atom
* size of the total moment: 0.00 μB per formula unit
* formation energy from the elements: 1.1 eV/f.u.

***

Compound: BaZrTl2
Source: Alexandria via LeMat-Bulk
Functional: PBE-GGA
Structure: relaxed

Cell: 3.6159 3.6159 32.0296 Å, 90.00 90.00 120.00°
Space group R-3m (No. 166, hexagonal axes)
Inequivalent atoms, fractional coordinates:
Ba 0.0000 0.0000 0.0000 [3 per cell]
Zr 0.0000 0.0000 0.5000 [3 per cell]
Tl 0.0000 0.0000 0.2411 [6 per cell]

## Properties
* size of the total moment: 0.00 μB per formula unit
* formation energy from the elements: 0.3 eV/f.u.

***

Compound: BaZr2Tl
Source: Alexandria via LeMat-Bulk
Functional: PBE-GGA
Structure: relaxed

Cell: 11.667 3.318 6.048 Å, 90.00 101.55 90.00°
Space group C2/m (No. 12)
Inequivalent atoms, fractional coordinates:
Ba 0.000 0.000 0.000 [2 per cell]
Zr 0.224 0.000 0.699 [4 per cell]
Tl 0.000 0.500 0.500 [2 per cell]

## Properties
* E above lowest polymorph: 0.174 eV per atom
* size of the total moment: 0.00 μB per formula unit
* formation energy from the elements: 1.1 eV/f.u.

***

Compound: BaZrTl2
Source: Alexandria via LeMat-Bulk
Functional: PBE-GGA
Structure: relaxed

Cell: 3.560 5.741 11.827 Å, 90.00 90.00 90.00°
Space group Imm2 (No. 44)
Inequivalent atoms, fractional coordinates:
Ba 0.000 0.000 0.000 [2 per cell]
Zr 0.000 0.500 0.230 [2 per cell]
Tl 0.000 0.000 0.509 [2 per cell]
Tl 0.000 0.500 0.769 [2 per cell]

## Properties
* size of the total moment: 0.00 μB per formula unit
* formation energy from the elements: 0.7 eV/f.u.

***

Compound: BaZr2Tl
Source: Alexandria via LeMat-Bulk
Functional: PBE-GGA
Structure: relaxed

Cell: 3.487 5.638 11.425 Å, 90.00 90.00 90.00°
Space group Cmmm (No. 65)
Inequivalent atoms, fractional coordinates:
Ba 0.000 0.000 0.000 [2 per cell]
Zr 0.000 0.500 0.276 [4 per cell]
Tl 0.000 0.000 0.500 [2 per cell]

## Properties
* E above lowest polymorph: 0.328 eV per atom
* size of the total moment: 0.00 μB per formula unit
* formation energy from the elements: 1.8 eV/f.u.

***

Compound: BaZr2Tl
Source: Alexandria via LeMat-Bulk
Functional: PBE-GGA
Structure: relaxed

Cell: 5.190 5.190 21.940 Å, 90.00 90.00 90.00°
Space group I-42d (No. 122)
Inequivalent atoms, fractional coordinates:
Ba 0.000 0.000 0.000 [4 per cell]
Zr 0.033 0.250 0.625 [8 per cell]
Tl 0.000 0.000 0.500 [4 per cell]

## Properties
* E above lowest polymorph: 0.485 eV per atom
* size of the total moment: 0.00 μB per formula unit
* formation energy from the elements: 2.4 eV/f.u.

***

Compound: BaZrTl2
Source: Alexandria via LeMat-Bulk
Functional: PBE-GGA
Structure: relaxed

Cell: 3.542 5.237 6.715 Å, 90.00 90.00 90.00°
Space group Pmm2 (No. 25)
Inequivalent atoms, fractional coordinates:
Ba 0.000 0.000 0.000 [1 per cell]
Zr 0.000 0.500 0.426 [1 per cell]
Tl 0.500 0.000 0.458 [1 per cell]
Tl 0.500 0.500 0.793 [1 per cell]

## Properties
* size of the total moment: 0.00 μB per formula unit
* formation energy from the elements: 0.3 eV/f.u.

***

Compound: BaZrTl2
Source: Alexandria via LeMat-Bulk
Functional: PBE-GGA
Structure: relaxed

Cell: 7.524 9.218 3.374 Å, 90.00 90.00 90.00°
Space group Cmmm (No. 65)
Inequivalent atoms, fractional coordinates:
Ba 0.000 0.000 0.000 [2 per cell]
Zr 0.000 0.500 0.000 [2 per cell]
Tl 0.250 0.250 0.500 [4 per cell]

## Properties
* size of the total moment: 0.00 μB per formula unit
* formation energy from the elements: 0.3 eV/f.u.

***

Compound: BaZr2Tl
Source: Alexandria via LeMat-Bulk
Functional: PBE-GGA
Structure: relaxed

Cell: 3.405 5.747 11.605 Å, 90.00 90.00 90.00°
Space group Imm2 (No. 44)
Inequivalent atoms, fractional coordinates:
Ba 0.000 0.000 0.000 [2 per cell]
Zr 0.000 0.000 0.501 [2 per cell]
Zr 0.000 0.500 0.220 [2 per cell]
Tl 0.000 0.500 0.771 [2 per cell]

## Properties
* E above lowest polymorph: 0.295 eV per atom
* size of the total moment: 0.00 μB per formula unit
* formation energy from the elements: 1.6 eV/f.u.

***

Compound: BaZrTl2
Source: Alexandria via LeMat-Bulk
Functional: PBE-GGA
Structure: relaxed

Cell: 3.487 4.309 7.870 Å, 90.00 90.10 90.00°
Space group P2/m (No. 10)
Inequivalent atoms, fractional coordinates:
Ba 0.000 0.000 0.000 [1 per cell]
Zr 0.000 0.000 0.500 [1 per cell]
Tl 0.499 0.500 0.701 [2 per cell]

## Properties
* size of the total moment: 0.00 μB per formula unit
* formation energy from the elements: -0.5 eV/f.u.

***

Compound: Ba5Tm
Source: Alexandria via LeMat-Bulk
Functional: PBE-GGA
Structure: relaxed

Cell: 6.847 20.551 4.659 Å, 90.00 90.00 90.00°
Space group Cmmm (No. 65)
Inequivalent atoms, fractional coordinates:
Ba 0.000 0.000 0.000 [2 per cell]
Ba 0.000 0.172 0.500 [4 per cell]
Ba 0.000 0.352 0.000 [4 per cell]
Tm 0.000 0.500 0.500 [2 per cell]

## Properties
* size of the total moment: 0.00 μB per formula unit
* formation energy from the elements: 0.9 eV/f.u.

***

Compound: Ba3Tm
Source: Alexandria via LeMat-Bulk
Functional: PBE-GGA
Structure: relaxed

Cell: 8.3345 8.3345 6.7373 Å, 90.00 90.00 120.00°
Space group P6_3/mmc (No. 194)
Inequivalent atoms, fractional coordinates:
Ba 0.1719 0.3438 0.2500 [6 per cell]
Tm 0.3333 0.6667 0.7500 [2 per cell]

## Properties
* E above lowest polymorph: 0.000 eV per atom
* size of the total moment: 0.00 μB per formula unit
* formation energy from the elements: 0.9 eV/f.u.

***

Compound: Ba3Tm
Source: Alexandria via LeMat-Bulk
Functional: PBE-GGA
Structure: relaxed

Cell: 5.889 5.889 11.642 Å, 90.00 90.00 90.00°
Space group I4/mmm (No. 139)
Inequivalent atoms, fractional coordinates:
Ba 0.000 0.000 0.000 [2 per cell]
Ba 0.000 0.500 0.250 [4 per cell]
Tm 0.000 0.000 0.500 [2 per cell]

## Properties
* E above lowest polymorph: 0.017 eV per atom
* size of the total moment: 0.00 μB per formula unit
* formation energy from the elements: 1.0 eV/f.u.

***

Compound: BaYTm2
Source: Alexandria via LeMat-Bulk
Functional: PBE-GGA
Structure: relaxed

Cell: 3.5789 3.5789 38.2892 Å, 90.00 90.00 120.00°
Space group R-3m (No. 166, hexagonal axes)
Inequivalent atoms, fractional coordinates:
Ba 0.0000 0.0000 0.0000 [3 per cell]
Y 0.0000 0.0000 0.5000 [3 per cell]
Tm 0.0000 0.0000 0.0936 [6 per cell]

## Properties
* size of the total moment: 0.10 μB per formula unit
* formation energy from the elements: 1.0 eV/f.u.

***

Compound: BaTmZn4
Source: Alexandria via LeMat-Bulk
Functional: PBE-GGA
Structure: relaxed

Cell: 8.052 8.052 8.052 Å, 90.00 90.00 90.00°
Space group F-43m (No. 216)
Inequivalent atoms, fractional coordinates:
Ba 0.000 0.000 0.000 [4 per cell]
Tm 0.250 0.250 0.250 [4 per cell]
Zn 0.123 0.123 0.623 [16 per cell]

## Properties
* size of the total moment: 0.00 μB per formula unit
* formation energy from the elements: -0.7 eV/f.u.

***

Compound: BaTmZn2
Source: Alexandria via LeMat-Bulk
Functional: PBE-GGA
Structure: relaxed

Cell: 3.743 3.743 7.759 Å, 90.00 90.00 90.00°
Space group P4/mmm (No. 123)
Inequivalent atoms, fractional coordinates:
Ba 0.000 0.000 0.000 [1 per cell]
Tm 0.000 0.000 0.500 [1 per cell]
Zn 0.500 0.500 0.310 [2 per cell]

## Properties
* E above lowest polymorph: 0.000 eV per atom
* size of the total moment: 0.00 μB per formula unit
* formation energy from the elements: -0.9 eV/f.u.

***

Compound: BaTm4Zn5
Source: Alexandria via LeMat-Bulk
Functional: PBE-GGA
Structure: relaxed

Cell: 3.600 3.600 18.316 Å, 90.00 90.00 90.00°
Space group P4/mmm (No. 123)
Inequivalent atoms, fractional coordinates:
Ba 0.000 0.000 0.000 [1 per cell]
Tm 0.000 0.000 0.218 [2 per cell]
Tm 0.000 0.000 0.407 [2 per cell]
Zn 0.500 0.500 0.132 [2 per cell]
Zn 0.500 0.500 0.312 [2 per cell]
Zn 0.500 0.500 0.500 [1 per cell]

## Properties
* size of the total moment: 0.00 μB per formula unit
* formation energy from the elements: -2.9 eV/f.u.

***

Compound: BaTm2Zr
Source: Alexandria via LeMat-Bulk
Functional: PBE-GGA
Structure: relaxed

Cell: 3.4752 3.4752 36.8532 Å, 90.00 90.00 120.00°
Space group R-3m (No. 166, hexagonal axes)
Inequivalent atoms, fractional coordinates:
Ba 0.0000 0.0000 0.0000 [3 per cell]
Tm 0.0000 0.0000 0.0972 [6 per cell]
Zr 0.0000 0.0000 0.5000 [3 per cell]

## Properties
* size of the total moment: 0.05 μB per formula unit
* formation energy from the elements: 1.1 eV/f.u.

***

Compound: Ba4U
Source: Alexandria via LeMat-Bulk
Functional: PBE-GGA
Structure: relaxed

Cell: 6.615 6.615 6.615 Å, 90.00 90.00 90.00°
Space group Pm-3m (No. 221)
Inequivalent atoms, fractional coordinates:
Ba 0.000 0.000 0.000 [1 per cell]
Ba 0.000 0.500 0.500 [3 per cell]
U 0.500 0.500 0.500 [1 per cell]

## Properties
* size of the total moment: 5.82 μB per formula unit
* formation energy from the elements: 4.3 eV/f.u.

***

Compound: BaU4
Source: Alexandria via LeMat-Bulk
Functional: PBE-GGA
Structure: relaxed

Cell: 5.564 5.564 5.564 Å, 90.00 90.00 90.00°
Space group Pm-3m (No. 221)
Inequivalent atoms, fractional coordinates:
Ba 0.000 0.000 0.000 [1 per cell]
U 0.000 0.000 0.500 [3 per cell]
U 0.500 0.500 0.500 [1 per cell]

## Properties
* size of the total moment: 13.37 μB per formula unit
* formation energy from the elements: 11.3 eV/f.u.

***

Compound: BaV
Source: Alexandria via LeMat-Bulk
Functional: PBE-GGA
Structure: relaxed

Cell: 9.610 9.610 9.610 Å, 90.00 90.00 90.00°
Space group I-43m (No. 217)
Inequivalent atoms, fractional coordinates:
Ba 0.216 0.216 0.784 [8 per cell]
V 0.084 0.084 0.084 [8 per cell]

## Properties
* E above lowest polymorph: 0.430 eV per atom
* size of the total moment: 0.00 μB per formula unit
* formation energy from the elements: 2.1 eV/f.u.

***

Compound: BaV
Source: Alexandria via LeMat-Bulk
Functional: PBE-GGA
Structure: relaxed

Cell: 3.5990 3.5990 11.7627 Å, 90.00 90.00 120.00°
Space group P6_3mc (No. 186)
Inequivalent atoms, fractional coordinates:
Ba 0.3333 0.6667 0.0000 [2 per cell]
V 0.3333 0.6667 0.7292 [2 per cell]

## Properties
* E above lowest polymorph: 0.785 eV per atom
* size of the total moment: 3.53 μB per formula unit
* formation energy from the elements: 2.8 eV/f.u.

***

Compound: BaV
Source: Alexandria via LeMat-Bulk
Functional: PBE-GGA
Structure: relaxed

Cell: 3.736 7.990 12.937 Å, 90.00 90.00 90.00°
Space group Pmmn (No. 59, origin choice 2)
Inequivalent atoms, fractional coordinates:
Ba 0.250 0.031 0.143 [4 per cell]
Ba 0.250 0.750 0.341 [2 per cell]
V 0.250 0.250 0.424 [2 per cell]
V 0.250 0.566 0.560 [4 per cell]

## Properties
* E above lowest polymorph: 0.110 eV per atom
* size of the total moment: 0.00 μB per formula unit
* formation energy from the elements: 1.4 eV/f.u.